# 1
First-principles (GGA-PBE) data for a geometry-optimized Li3CrFe structure, as listed in Alexandria.

**E above lowest polymorph**: 0 meV/atom

a = 4.7317 Å, b = 4.7317 Å, c = 4.7317 Å
α = 90.00°, β = 90.00°, γ = 90.00°
Space group Pm-3m (No. 221)
Unique sites:
Li 0.0000 0.0000 0.5000 x3
Cr 0.0000 0.0000 0.0000 x1
Fe 0.5000 0.5000 0.5000 x1

---

# 2
First-principles (GGA-PBE) data for a geometry-optimized BaPa2SnN5 structure, as listed in Alexandria.

**Raw formation energy**: -0.918 eV per atom

a = 6.8119 Å, b = 6.8119 Å, c = 12.0795 Å
α = 90.00°, β = 90.00°, γ = 90.00°
Space group I4/mcm (No. 140)
Unique sites:
Ba 0.0000 0.0000 0.2500 x4
Pa 0.1835 0.3165 0.0000 x8
Sn 0.0000 0.5000 0.2500 x4
N 0.0000 0.0000 0.0000 x4
N 0.1492 0.3508 0.3757 x16

---

Calculated total energy: -3.5251, -8.3116 (eV/atom)